TbSmDy2: optimized geometry, PBE.

abc: 5.6863 5.6863 5.6863
angles: 60.00 60.00 60.00
Fractional coordinates of all 4 atoms:
Sm 0.5000 0.5000 0.5000
Tb 0.0000 0.0000 0.0000
Dy 0.2500 0.2500 0.2500
Dy 0.7500 0.7500 0.7500

Values from the calculation:
The value obtained for the total energy is -17.99 eV per cell. The space group is Fm-3m. The value obtained for the relative energy among the computed polymorphs is 0.52 eV/f.u. Its energy relative to the elements is 55 kJ/mol of formula units.

TbSm3Dy8: optimized geometry, PBE.

abc: 8.6496 8.6496 8.6496
angles: 97.31 98.70 136.18
Fractional coordinates of all 12 atoms:
Dy 0.8321 0.7505 0.5822
Dy 0.4987 0.2511 0.2473
Dy 0.5013 0.7487 0.7525
Dy 0.9962 0.7489 0.2475
Dy 0.8317 0.2495 0.0816
Dy 0.1679 0.7501 0.9184
Dy 0.0038 0.2513 0.7527
Dy 0.1683 0.2499 0.4178
Sm 0.0000 0.5000 0.5000
Sm 0.5000 0.7484 0.2484
Sm 0.5000 0.2516 0.7516
Tb 0.0000 0.0000 0.0000

Values from the calculation:
The value obtained for the total energy is -51.95 eV per cell. The space group is Immm. Its energy relative to the elements is 353 kJ/mol of formula units.

Tb6Sm2Dy: optimized geometry, PBE.

abc: 6.1666 11.8849 11.8849
angles: 96.77 60.59 60.59
Fractional coordinates of all 18 atoms:
Tb 0.8375 0.4946 0.6742
Tb 0.6625 0.3258 0.5054
Tb 0.0775 0.0758 0.5909
Tb 0.1798 0.8378 0.9907
Tb 0.3375 0.6742 0.4946
Tb 0.6798 0.9907 0.8378
Tb 0.4225 0.4091 0.9242
Tb 0.8202 0.1622 0.0093
Tb 0.3202 0.0093 0.1622
Tb 0.9225 0.9242 0.4091
Tb 0.5775 0.5909 0.0758
Tb 0.1625 0.5054 0.3258
Sm 0.0187 0.6604 0.8352
Sm 0.9813 0.3396 0.1648
Sm 0.5187 0.8352 0.6604
Sm 0.4813 0.1648 0.3396
Dy 0.2500 0.2383 0.7617
Dy 0.7500 0.7617 0.2383

Values from the calculation:
The value obtained for the total energy is -81.63 eV per cell. The space group is C2/c. The value obtained for the relative energy among the computed polymorphs is 0.87 eV/f.u. Its energy relative to the elements is 97 kJ/mol of formula units.